## CeScAlPb (PBE)

Data for a relaxed structure of CeScAlPb.

a b c (Å): 7.3726 7.3726 7.3726
angles (deg): 90.00 90.00 90.00
Space group F-43m (No. 216)
Unique sites:
Ce  0.0000  0.0000  0.0000 [4 per cell]
Sc  0.0000  0.0000  0.5000 [4 per cell]
Al  0.2500  0.2500  0.7500 [4 per cell]
Pb  0.2500  0.2500  0.2500 [4 per cell]

Properties
VASP energy: -5.195 eV per atom
ΔE_f: -0.266 eV/atom

***

## TbCeAlPb (PBE)

Data for a relaxed structure of TbCeAlPb.

a b c (Å): 7.5788 7.5788 7.5788
angles (deg): 90.00 90.00 90.00
Space group F-43m (No. 216)
Unique sites:
Tb  0.0000  0.0000  0.0000 [4 per cell]
Ce  0.0000  0.0000  0.5000 [4 per cell]
Al  0.2500  0.2500  0.2500 [4 per cell]
Pb  0.2500  0.2500  0.7500 [4 per cell]

Properties
VASP energy: -4.801 eV per atom
ΔE_f: -0.297 eV/atom

***

## CeAlPd3 (PBE)

Data for a relaxed structure of CeAlPd3.

a b c (Å): 5.2190 5.2190 16.5892
angles (deg): 90.00 90.00 90.00
Space group I-4m2 (No. 119)
Unique sites:
Ce  0.0000  0.0000  0.1252 [4 per cell]
Al  0.0000  0.0000  0.5000 [2 per cell]
Al  0.0000  0.5000  0.7500 [2 per cell]
Pd  0.0000  0.2453  0.6281 [8 per cell]
Pd  0.0000  0.5000  0.0290 [4 per cell]

Properties
VASP energy: -5.494 eV per atom
ΔE_f: -0.443 eV/atom

***

## CeAl3Pd2 (PBE)

Data for a relaxed structure of CeAl3Pd2.

a b c (Å): 16.6120 4.2399 10.0940
angles (deg): 90.00 108.52 90.00
Space group C2/m (No. 12)
Unique sites:
Ce  0.0000  0.0000  0.0000 [2 per cell]
Ce  0.1584  0.0000  0.7069 [4 per cell]
Al  0.0000  0.5000  0.5000 [2 per cell]
Al  0.0432  0.0000  0.3594 [4 per cell]
Al  0.1304  0.5000  0.2009 [4 per cell]
Al  0.1730  0.5000  0.9645 [4 per cell]
Al  0.2136  0.0000  0.3898 [4 per cell]
Pd  0.0229  0.5000  0.7766 [4 per cell]
Pd  0.1392  0.5000  0.4508 [4 per cell]
Pd  0.1975  0.0000  0.1246 [4 per cell]

Properties
VASP energy: -5.341 eV per atom
ΔE_f: -0.750 eV/atom

***

## CeAl3Pd2 (PBE)

Data for a relaxed structure of CeAl3Pd2.

a b c (Å): 9.9935 8.1842 5.4900
angles (deg): 90.00 90.00 90.00
Space group Cmcm (No. 63)
Unique sites:
Ce  0.0000  0.1556  0.2500 [4 per cell]
Al  0.0000  0.4551  0.7500 [4 per cell]
Al  0.1801  0.2212  0.7500 [8 per cell]
Pd  0.2132  0.5000  0.0000 [8 per cell]

Properties
VASP energy: -5.316 eV per atom
ΔE_f: -0.725 eV/atom

***

## CeAlPd (PBE)

Data for a relaxed structure of CeAlPd.

a b c (Å): 4.5564 4.5564 3.5108
angles (deg): 90.00 90.00 120.00
Space group P-6m2 (No. 187)
Unique sites:
Ce  0.0000  0.0000  0.0000 [1 per cell]
Al  0.3333  0.6667  0.5000 [1 per cell]
Pd  0.6667  0.3333  0.5000 [1 per cell]

Properties
VASP energy: -5.635 eV per atom
ΔE_f: -0.678 eV/atom

***

## Ce2Al3Pd4 (PBE)

Data for a relaxed structure of Ce2Al3Pd4.

a b c (Å): 5.7514 15.8022 7.4054
angles (deg): 90.00 90.00 90.00
Space group Cmce (No. 64)
Unique sites:
Ce  0.0000  0.1064  0.0861 [8 per cell]
Al  0.0000  0.0000  0.5000 [4 per cell]
Al  0.2500  0.2322  0.7500 [8 per cell]
Pd  0.0000  0.1778  0.4793 [8 per cell]
Pd  0.2500  0.0672  0.7500 [8 per cell]

Properties
VASP energy: -5.683 eV per atom
ΔE_f: -0.809 eV/atom

***

## CeAl3Pd (PBE)

Data for a relaxed structure of CeAl3Pd.

a b c (Å): 8.3853 4.2429 10.9409
angles (deg): 90.00 90.00 90.00
Space group Pnma (No. 62)
Unique sites:
Ce  0.1805  0.2500  0.0117 [4 per cell]
Al  0.0646  0.2500  0.5881 [4 per cell]
Al  0.1154  0.7500  0.7944 [4 per cell]
Al  0.1392  0.7500  0.2170 [4 per cell]
Pd  0.0997  0.2500  0.3557 [4 per cell]

Properties
VASP energy: -5.104 eV per atom
ΔE_f: -0.633 eV/atom

***

- Which value of VASP energy does entry 3 give?
  -5.494 eV per atom